1.
VASP calculation (GGA-PBE) on AgIr2W after structural relaxation.

Cell and atoms, written as POSCAR:
```
AgIr2W
1.0
-3.761 6.709 -5.327
-6.043 6.027 -3.832
-4.192 7.879 -2.807
W Ag Ir
1 1 2
Direct
0.250 0.250 0.250
0.750 0.750 0.750
0.994 0.994 0.994
0.506 0.506 0.506
```

Calculated values
As for the formation energy: 13 meV/atom. Its size of the total moment is 0.000 μB/atom. The calculation puts the density of states at the Fermi level at 0.9920 states/eV per atom. As for the energy above the most stable polymorph in this dataset: 0.010 eV per atom.

***

2.
VASP calculation (GGA-PBE) on CsPaAs after structural relaxation.

Cell and atoms, written as POSCAR:
```
CsPaAs
1.0
-2.263 -0.029 -8.307
8.312 -0.234 2.232
-3.230 -6.404 3.116
As Pa Cs
4 4 4
Direct
0.430 0.570 0.500
0.070 0.930 0.500
0.820 0.180 0.000
0.180 0.820 0.000
0.096 0.096 0.191
0.346 0.846 0.691
0.154 0.654 0.309
0.904 0.904 0.809
0.625 0.375 0.750
0.625 0.375 0.250
0.125 0.375 0.750
0.625 0.875 0.250
```

Calculated values
As for the formation energy: -90 meV/atom. Its size of the total moment is 0.000 μB/atom. The calculation puts the density of states at the Fermi level at 0.9281 states/eV per atom.

***

3.
VASP calculation (GGA-PBE) on SrAgPb2 after structural relaxation.

Cell and atoms, written as POSCAR:
```
SrAgPb2
1.0
-4.709 -0.894 -1.111
4.084 -8.788 0.653
-2.361 -0.334 10.275
Ag Sr Pb
4 4 8
Direct
0.141 0.281 0.470
0.141 0.281 0.030
0.859 0.719 0.970
0.859 0.719 0.530
0.500 0.000 0.000
0.686 0.373 0.250
0.500 0.000 0.500
0.314 0.627 0.750
0.301 0.603 0.408
0.301 0.603 0.092
0.052 0.104 0.250
0.699 0.397 0.592
0.699 0.397 0.908
0.948 0.896 0.750
0.891 0.782 0.250
0.109 0.218 0.750
```

Calculated values
As for the formation energy: -289 meV/atom. Its size of the total moment is 0.000 μB/atom. The calculation puts the density of states at the Fermi level at 0.5383 states/eV per atom.

***

Q: Which value of size of the total moment does entry 3 give?
A: 0.000 μB/atom